10
Lattice="-3.752 -0.255 -3.904 4.092 -3.554 0.063 -0.939 -5.192 1.242" Properties=species:S:1:pos:R:3 comment="SrGdFeCoO6 | Alexandria via LeMat-Bulk | GGA+U | optimized geometry" m_tot_mub_per_fu=10.96 spacegroup="F-43m, No. 216" e_tot_ev_per_atom=-7.58 pbc="T T T"
O -3.064 -1.463 -2.645
Gd 0.873 -3.139 -0.634
O -0.974 -3.278 -2.613
Fe -2.346 -2.724 -1.331
Co 0.000 0.000 0.000
O -1.147 -1.332 -0.651
Sr -1.472 -5.863 -1.965
O -3.544 -4.115 -2.011
O 0.375 -5.723 0.014
O -1.627 -3.984 -0.017